No. 1
SrLiAlF6 | SCAN | single point on PBEsol structure

Results
- Energy: -0.7198 Ry per atom
- Crystal system: trigonal

Lattice parameters (Å, degrees): 5.073 5.073 10.222 90.00 90.00 120.00
Fractional positions:
Al1 0.667 0.333 0.750
F1 0.385 0.357 0.852
F2 0.029 0.385 0.148
F3 0.615 0.643 0.148
F4 0.971 0.357 0.648
F5 0.357 0.385 0.352
F6 0.971 0.615 0.852
Sr1 0.000 0.000 0.500
Al2 0.333 0.667 0.250
F7 0.643 0.615 0.648
F8 0.643 0.029 0.852
Sr2 0.000 0.000 0.000
F9 0.357 0.971 0.148
F10 0.029 0.643 0.352
Li1 0.667 0.333 0.250
F11 0.385 0.029 0.648
F12 0.615 0.971 0.352
Li2 0.333 0.667 0.750

***

No. 2
Mn2NiRh | SCAN | single point on PBEsol structure

Results
- Energy: -1.6218 Ry per atom
- Crystal system: tetragonal

Lattice parameters (Å, degrees): 2.958 2.958 5.763 90.00 90.00 90.00
Fractional positions:
Mn1 0.000 0.000 0.239
Ni1 0.500 0.500 0.000
Mn2 0.000 0.000 0.761
Rh1 0.500 0.500 0.500

***

No. 3
InB2PIr | SCAN | single point on PBEsol structure

Results
- Energy: -1.7340 Ry per atom
- Crystal system: tetragonal

Lattice parameters (Å, degrees): 4.087 4.087 5.231 90.00 90.00 90.00
Fractional positions:
B1 0.000 0.500 0.000
In1 0.000 0.000 0.000
B2 0.500 0.000 0.000
Ir1 0.000 0.000 0.500
P1 0.500 0.500 0.500

***

Look up the energy of the third one.
-1.7340 Ry per atom